Compound: TlMoO
Source: Alexandria
Functional: PBE with a Hubbard U
Structure: relaxed

a b c (Å): 5.4512 5.4932 5.4658
angles (deg): 115.58 104.18 108.38
Closest atoms and distances in Å follow each position.
Fractional positions:
Mo 0.4589 0.6818 0.8027  2 O 1.97-2.01
O 0.4458 0.9663 0.6679  2 Mo 1.97-2.01
Tl 0.1390 0.0731 0.1455  2 O 2.88-3.18, 2 Mo 3.16
Tl 0.8293 0.5750 0.3374  2 O 2.88-3.20, 2 Mo 3.16
Mo 0.7809 0.1855 0.6281  2 O 1.97-2.01
O 0.2011 0.4660 0.9217  2 Mo 1.97-2.01

Results
raw total energy	-4.96	eV per atom
distance to the lowest polymorph of the same formula	0.153	eV per atom
V	20.906	Å³/atom
SG	P1, No. 1
crystal system	triclinic